(1)
This record from the Alexandria database describes a relaxed ZnPPb2 crystal. The functional is PBE.

```
ZnPPb2
1.0
-6.4441 -0.0249 0.8214
-0.8190 -0.3326 -6.4358
-3.5700 -6.1686 -2.5055
Pb Zn P
4 2 2
Cartesian
-9.0275 -4.9372 -6.7510
-5.4063 -4.7626 -4.0253
-2.2507 -1.7533 -4.5409
-4.9816 -1.5991 -0.9227
-6.8228 -3.1861 -2.2457
0.0000 0.0000 0.0000
-4.0103 -3.3400 -5.8743
-3.6315 -0.1787 -2.8072
```

Results
Formation energy ... 0.239 eV per atom

(2)
This record from the Alexandria database describes a relaxed Tb5CeCd4 crystal. The functional is PBE.

```
Tb5CeCd4
1.0
-0.6528 2.6037 -2.5310
-3.3804 0.5032 1.3896
7.1864 13.9018 12.4479
Cd Tb Ce
4 5 1
Cartesian
4.2832 8.2856 7.4190
1.5118 2.9245 2.6186
2.9033 5.6163 5.0289
5.6746 10.9774 9.8292
4.3533 13.8758 10.4628
1.5766 8.5044 5.6532
-1.2001 3.1330 0.8436
0.1992 5.8398 3.2673
2.9540 11.1690 8.0391
0.0000 0.0000 0.0000
```

Results
Formation energy ... -0.230 eV per atom

(3)
This record from the Alexandria database describes a relaxed Cd3TePb crystal. The functional is PBE.

```
Cd3TePb
1.0
-1.1541 -3.5644 -4.1561
5.3781 -1.5347 -0.1773
-1.0269 -4.0312 3.7424
Te Pb Cd
1 1 3
Cartesian
1.5985 -4.5651 -0.2955
0.0000 0.0000 0.0000
2.6890 -0.7673 -0.0887
-0.5135 -2.0156 1.8712
-0.5771 -1.7822 -2.0781
```

Results
Energy relative to the elements, uncorrected ... 0.34 eV per atom

(4)
This record from the Alexandria database describes a relaxed BeVCuPd2 crystal. The functional is PBE.

```
BeVCuPd2
1.0
-1.8712 -3.5107 -1.1295
1.1836 -1.8490 3.7861
-3.5143 1.3133 1.7399
Be Pd V Cu
1 2 1 1
Cartesian
0.0000 0.0000 0.0000
-0.9356 -1.7553 -0.5648
-1.7571 0.6566 0.8700
0.5918 -0.9245 1.8931
-2.1009 -2.0232 2.1983
```

Results
Formation energy ... 0.371 eV per atom

(5)
This record from the Alexandria database describes a relaxed MgGaAgIr crystal. The functional is PBE.

```
MgGaAgIr
1.0
-1.6943 -0.8049 4.0540
-0.0521 -4.1655 1.6121
2.7083 -1.1249 3.3695
Mg Ir Ga Ag
1 1 1 1
Cartesian
0.0000 0.0000 0.0000
0.7214 -4.5715 6.7767
0.4809 -3.0476 4.5178
0.2405 -1.5238 2.2589
```

Results
Formation energy ... -0.259 eV per atom

(6)
This record from the Alexandria database describes a relaxed KTa3I crystal. The functional is PBE.

```
KTa3I
1.0
4.8455 0.0000 0.0000
0.0000 4.8455 0.0000
0.0000 0.0000 4.8455
Ta K I
3 1 1
Cartesian
2.4227 0.0000 0.0000
0.0000 2.4227 0.0000
0.0000 0.0000 2.4227
0.0000 0.0000 0.0000
2.4227 2.4227 2.4227
```

Results
Energy relative to the elements, uncorrected ... 3.18 eV per atom

Number 1: total magnetic moment 0.00 μB per cell. Number 2: total magnetic moment 0.08 μB per cell. Number 3: total magnetic moment 0.00 μB per cell. Number 4: total magnetic moment 3.41 μB per cell. Number 5: total magnetic moment 0.00 μB per cell. Number 6: total magnetic moment 0.00 μB per cell.